# MoPb5 GGA-PBE relaxed
# Energy above the lowest structure with this stoichiometry in meV/atom: 131
# Calculated volume in A^3/atom: 26.7
# Electronic total energy in eV/f.u.: -26.44
# M_tot in μB per formula unit: 0.33
# N(E_F) in states/eV/atom: 0.580
# E_form in eV/atom: 0.4894
data_MoPb5
_chemical_formula_sum 'Mo1 Pb5'
_symmetry_space_group_name_H-M 'P -6 2 m'
_symmetry_Int_Tables_number 189
_symmetry_space_group_name_Hall 'P -6 -2'
_cell_length_a 5.8386
_cell_length_b 5.8386
_cell_length_c 5.4215
_cell_angle_alpha 90.00
_cell_angle_beta 90.00
_cell_angle_gamma 120.00
loop_
_atom_site_label
_atom_site_type_symbol
_atom_site_fract_x
_atom_site_fract_y
_atom_site_fract_z
Mo1 Mo 0.0000 0.0000 0.0000
Pb1 Pb 0.0000 0.6886 0.5000
Pb2 Pb 0.3333 0.6667 0.0000